[1]
K6Rb2NaPd | PBE-GGA | optimized geometry

Lattice parameters (Å, degrees): 9.8140 9.8141 9.8063 120.12 120.12 89.85
Positions (direct):
K1 0.2278 0.2282 0.4553
K2 0.7693 0.7698 0.5389
K3 0.7709 0.7714 0.9994
K4 0.7716 0.2300 0.0012
K5 0.2301 0.2306 0.0026
K6 0.2294 0.7719 0.0009
Pd1 0.9984 0.9989 0.9968
Rb1 0.7530 0.2511 0.5036
Rb2 0.2506 0.7536 0.5036
Na1 0.4979 0.4984 0.9957

For the density of states at the Fermi level, the calculation gives 6.1 states/eV/cell. As for the symmetry: Cm, No. 8. The formation energy comes out at 0.05 eV/atom.

---

[2]
KRb2NaPd | PBE-GGA | optimized geometry

Lattice parameters (Å, degrees): 6.7496 6.7496 5.8090 90.00 90.00 90.00
Positions (direct):
Rb1 0.5000 0.0000 0.0000
Rb2 0.0000 0.5000 0.0000
K1 0.5000 0.5000 0.5000
Na1 0.0000 0.0000 0.5000
Pd1 0.0000 0.0000 0.0000

The value obtained for the energy above the lowest structure with this stoichiometry is 0.0039 eV per atom. For the density of states at the Fermi level, the calculation gives 2.4 states/eV/cell. As for the symmetry: P4/mmm, No. 123. The formation energy comes out at 0.10 eV/atom.